Tl2RePb: optimized geometry, PBE-GGA.

Unit cell a=5.6875 b=5.6875 c=5.6875 alpha=133.35 beta=133.35 gamma=68.11
Last column: nearest neighbours and their distance in Å.
Atoms (fractional coordinates):
Re: 0.7500 0.2500 0.5000  4 Pb 3.18-3.19, 8 Tl 3.26
Tl: 0.0000 0.0000 0.0000  4 Tl 3.18-3.19, 4 Pb 3.26, 4 Re 3.26
Tl: 0.5000 0.5000 0.0000  4 Tl 3.18-3.19, 4 Re 3.26, 4 Pb 3.26
Pb: 0.2500 0.7500 0.5000  4 Re 3.18-3.19, 8 Tl 3.26

Summary:
Electronic total energy in eV per atom: -4.139
Mass density in g/cm³: 13.93
DOS at the Fermi energy in states/eV/f.u.: 2.93
Energy above the lowest structure with this stoichiometry in kJ/mol of formula units: 166
Spin magnetization in μB per cell: 1.54
Space group: I4/mmm (139)
Formation enthalpy at 0 K in eV per atom: 1.08

Tl2RePb: optimized geometry, PBE-GGA.

Unit cell a=5.6394 b=5.6394 c=3.2355 alpha=90.00 beta=90.00 gamma=109.74
Last column: nearest neighbours and their distance in Å.
Atoms (fractional coordinates):
Re: 0.0000 0.5000 0.5000  2 Re 3.24, 2 Pb 3.25, 8 Tl 3.25
Tl: 0.5000 0.5000 0.0000  4 Tl 3.24-3.25, 4 Pb 3.25, 4 Re 3.25
Tl: 0.0000 0.0000 0.0000  4 Tl 3.24-3.25, 4 Re 3.25, 4 Pb 3.25
Pb: 0.5000 0.0000 0.5000  2 Pb 3.24, 2 Re 3.25, 8 Tl 3.25

Summary:
Electronic total energy in eV per atom: -4.156
Mass density in g/cm³: 13.75
DOS at the Fermi energy in states/eV/f.u.: 2.28
Energy above the lowest structure with this stoichiometry in kJ/mol of formula units: 159
Spin magnetization in μB per cell: 2.30
Space group: Cmmm (65)
Formation enthalpy at 0 K in eV per atom: 1.07

Please write out number 1 again, unchanged.
Tl2RePb: optimized geometry, PBE-GGA.

Unit cell a=5.6875 b=5.6875 c=5.6875 alpha=133.35 beta=133.35 gamma=68.11
Last column: nearest neighbours and their distance in Å.
Atoms (fractional coordinates):
Re: 0.7500 0.2500 0.5000  4 Pb 3.18-3.19, 8 Tl 3.26
Tl: 0.0000 0.0000 0.0000  4 Tl 3.18-3.19, 4 Pb 3.26, 4 Re 3.26
Tl: 0.5000 0.5000 0.0000  4 Tl 3.18-3.19, 4 Re 3.26, 4 Pb 3.26
Pb: 0.2500 0.7500 0.5000  4 Re 3.18-3.19, 8 Tl 3.26

Summary:
Electronic total energy in eV per atom: -4.139
Mass density in g/cm³: 13.93
DOS at the Fermi energy in states/eV/f.u.: 2.93
Energy above the lowest structure with this stoichiometry in kJ/mol of formula units: 166
Spin magnetization in μB per cell: 1.54
Space group: I4/mmm (139)
Formation enthalpy at 0 K in eV per atom: 1.08

Q: Which of these has the highest energy above the lowest structure with this stoichiometry?
A: number 1

Please write out number 2 again, unchanged.
Tl2RePb: optimized geometry, PBE-GGA.

Unit cell a=5.6394 b=5.6394 c=3.2355 alpha=90.00 beta=90.00 gamma=109.74
Last column: nearest neighbours and their distance in Å.
Atoms (fractional coordinates):
Re: 0.0000 0.5000 0.5000  2 Re 3.24, 2 Pb 3.25, 8 Tl 3.25
Tl: 0.5000 0.5000 0.0000  4 Tl 3.24-3.25, 4 Pb 3.25, 4 Re 3.25
Tl: 0.0000 0.0000 0.0000  4 Tl 3.24-3.25, 4 Re 3.25, 4 Pb 3.25
Pb: 0.5000 0.0000 0.5000  2 Pb 3.24, 2 Re 3.25, 8 Tl 3.25

Summary:
Electronic total energy in eV per atom: -4.156
Mass density in g/cm³: 13.75
DOS at the Fermi energy in states/eV/f.u.: 2.28
Energy above the lowest structure with this stoichiometry in kJ/mol of formula units: 159
Spin magnetization in μB per cell: 2.30
Space group: Cmmm (65)
Formation enthalpy at 0 K in eV per atom: 1.07